This record from Alexandria via LeMat-Bulk describes CeNiGe after structural relaxation. The functional is PBE.

Computed properties:
ΔE_f (eV/f.u.): -2.17

Cell: 3.8104 4.1968 4.1968 Å, 120.00 90.00 90.00°
Fractional positions:
Ni  0.1666  0.0000  0.0000
Ge  0.1667  0.3333  0.6667
Ce  0.6667  0.6667  0.3333